# ScCoCl2 GGA-PBE optimized geometry
# M_tot: 0.835 μB per formula unit
# ΔE to the lowest computed polymorph: 0.54 eV/f.u.
data_ScCoCl2
_chemical_formula_sum 'Sc2 Co2 Cl4'
_symmetry_space_group_name_H-M 'I m m m'
_symmetry_Int_Tables_number 71
_symmetry_space_group_name_Hall '-I 2 2'
_cell_length_a 3.526
_cell_length_b 4.100
_cell_length_c 12.722
_cell_angle_alpha 90.00
_cell_angle_beta 90.00
_cell_angle_gamma 90.00
loop_
_atom_site_label
_atom_site_fract_x
_atom_site_fract_y
_atom_site_fract_z
Sc1 0.000 0.000 0.000
Co1 0.000 0.000 0.500
Cl1 0.000 0.500 0.128

# ScCo3Cl GGA-PBE optimized geometry
# M_tot: 1.093 μB per formula unit
# ΔE to the lowest computed polymorph: 0.00 eV/f.u.
data_ScCo3Cl
_chemical_formula_sum 'Sc1 Co3 Cl1'
_symmetry_space_group_name_H-M 'P m -3 m'
_symmetry_Int_Tables_number 221
_symmetry_space_group_name_Hall '-P 4 2 3'
_cell_length_a 4.140
_cell_length_b 4.140
_cell_length_c 4.140
_cell_angle_alpha 90.00
_cell_angle_beta 90.00
_cell_angle_gamma 90.00
loop_
_atom_site_label
_atom_site_fract_x
_atom_site_fract_y
_atom_site_fract_z
Sc1 0.000 0.000 0.000
Co1 0.000 0.500 0.500
Cl1 0.500 0.500 0.500

# ScCoCl2 GGA-PBE optimized geometry
# M_tot: 1.749 μB per formula unit
# ΔE to the lowest computed polymorph: 2.23 eV/f.u.
data_ScCoCl2
_chemical_formula_sum 'Sc2 Co2 Cl4'
_symmetry_space_group_name_H-M 'C m m m'
_symmetry_Int_Tables_number 65
_symmetry_space_group_name_Hall '-C 2 2'
_cell_length_a 3.208
_cell_length_b 6.021
_cell_length_c 7.825
_cell_angle_alpha 90.00
_cell_angle_beta 90.00
_cell_angle_gamma 90.00
loop_
_atom_site_label
_atom_site_fract_x
_atom_site_fract_y
_atom_site_fract_z
Sc1 0.000 0.000 0.000
Co1 0.000 0.000 0.500
Cl1 0.000 0.500 0.272

# ScCoCl2 GGA-PBE optimized geometry
# M_tot: 1.553 μB per formula unit
# ΔE to the lowest computed polymorph: 1.20 eV/f.u.
data_ScCoCl2
_chemical_formula_sum 'Sc3 Co3 Cl6'
_symmetry_space_group_name_H-M 'R -3 m'
_symmetry_Int_Tables_number 166
_symmetry_space_group_name_Hall '-R 3 2"'
_cell_length_a 3.2955
_cell_length_b 3.2955
_cell_length_c 23.7915
_cell_angle_alpha 90.00
_cell_angle_beta 90.00
_cell_angle_gamma 120.00
loop_
_atom_site_label
_atom_site_fract_x
_atom_site_fract_y
_atom_site_fract_z
Sc1 0.0000 0.0000 0.0000
Co1 0.0000 0.0000 0.5000
Cl1 0.0000 0.0000 0.4069

# ScCoCl GGA-PBE optimized geometry
# M_tot: 0.843 μB per formula unit
# E: -5.472 eV/atom
data_ScCoCl
_chemical_formula_sum 'Sc4 Co4 Cl4'
_symmetry_space_group_name_H-M 'F m m 2'
_symmetry_Int_Tables_number 42
_symmetry_space_group_name_Hall 'F 2 -2'
_cell_length_a 4.237
_cell_length_b 4.476
_cell_length_c 12.255
_cell_angle_alpha 90.00
_cell_angle_beta 90.00
_cell_angle_gamma 90.00
loop_
_atom_site_label
_atom_site_fract_x
_atom_site_fract_y
_atom_site_fract_z
Sc1 0.000 0.000 0.000
Co1 0.000 0.000 0.372
Cl1 0.000 0.000 0.638

# ScCoCl3 GGA-PBE optimized geometry
# M_tot: 3.000 μB per formula unit
# ΔE to the lowest computed polymorph: 0.00 eV/f.u.
data_ScCoCl3
_chemical_formula_sum 'Sc1 Co1 Cl3'
_symmetry_space_group_name_H-M 'P m -3 m'
_symmetry_Int_Tables_number 221
_symmetry_space_group_name_Hall '-P 4 2 3'
_cell_length_a 5.036
_cell_length_b 5.036
_cell_length_c 5.036
_cell_angle_alpha 90.00
_cell_angle_beta 90.00
_cell_angle_gamma 90.00
loop_
_atom_site_label
_atom_site_fract_x
_atom_site_fract_y
_atom_site_fract_z
Sc1 0.000 0.000 0.000
Co1 0.500 0.500 0.500
Cl1 0.000 0.000 0.500